(1)
A plane-wave DFT calculation with PBE was carried out for ZnB2Ru2 after structural relaxation.

abc: 2.858 2.961 6.567
angles: 103.03 90.00 90.00
Atoms (fractional coordinates):
1 B 0.000 0.209 0.418
2 B 0.000 0.791 0.582
3 Ru 0.500 0.646 0.292
4 Ru 0.500 0.354 0.708
5 Zn 0.000 0.000 0.000

Output
crystal system	orthorhombic
volume	10.8	Å³/atom
formation enthalpy at 0 K	-1.0	eV/f.u.

(2)
A plane-wave DFT calculation with PBE was carried out for Zn2B2Ru after structural relaxation.

abc: 5.712 5.712 3.330
angles: 90.00 90.00 90.00
Atoms (fractional coordinates):
1 Zn 0.689 0.811 0.500
2 Zn 0.811 0.311 0.500
3 Zn 0.189 0.689 0.500
4 Zn 0.311 0.189 0.500
5 Ru 0.500 0.500 0.000
6 Ru 0.000 0.000 0.000
7 B 0.605 0.105 0.000
8 B 0.395 0.895 0.000
9 B 0.105 0.395 0.000
10 B 0.895 0.605 0.000

Output
crystal system	tetragonal
volume	10.9	Å³/atom
formation enthalpy at 0 K	1.2	eV/f.u.

(3)
A plane-wave DFT calculation with PBE was carried out for Zn2BRu2 after structural relaxation.

abc: 5.639 5.639 4.217
angles: 90.00 90.00 90.00
Atoms (fractional coordinates):
1 B 0.000 0.000 0.000
2 B 0.500 0.500 0.000
3 Zn 0.660 0.840 0.500
4 Zn 0.340 0.160 0.500
5 Zn 0.840 0.340 0.500
6 Zn 0.160 0.660 0.500
7 Ru 0.660 0.160 0.000
8 Ru 0.340 0.840 0.000
9 Ru 0.840 0.660 0.000
10 Ru 0.160 0.340 0.000

Output
energy above the most stable polymorph in this dataset	0.0000	eV/atom
crystal system	tetragonal
volume	13.4	Å³/atom
formation enthalpy at 0 K	-0.4	eV/f.u.